This record from Alexandria describes a geometry-optimized LiNdInPt structure. The functional is PBE.

**VASP energy**: -4.555 eV/atom
**Formation energy**: -15.904 kcal/mol of atoms

CIF file:
```
data_LiNdInPt
_cell_length_a 6.9199
_cell_length_b 6.9199
_cell_length_c 6.9199
_cell_angle_alpha 90.00
_cell_angle_beta 90.00
_cell_angle_gamma 90.00
_space_group_name_H-M_alt 'F -4 3 m'
_space_group_IT_number 216
_space_group_name_Hall 'F -4 2 3'
loop_
_atom_site_label
_atom_site_fract_x
_atom_site_fract_y
_atom_site_fract_z
Li1 0.0000 0.0000 0.0000
Nd1 0.2500 0.2500 0.2500
In1 0.2500 0.2500 0.7500
Pt1 0.0000 0.0000 0.5000
```


This record from Alexandria describes a geometry-optimized LiNdPuIn structure. The functional is PBE.

**VASP energy**: -5.966 eV/atom
**Formation energy**: -0.640 kcal/mol of atoms

CIF file:
```
data_LiNdPuIn
_cell_length_a 7.6078
_cell_length_b 7.6078
_cell_length_c 7.6078
_cell_angle_alpha 90.00
_cell_angle_beta 90.00
_cell_angle_gamma 90.00
_space_group_name_H-M_alt 'F -4 3 m'
_space_group_IT_number 216
_space_group_name_Hall 'F -4 2 3'
loop_
_atom_site_label
_atom_site_fract_x
_atom_site_fract_y
_atom_site_fract_z
Li1 0.0000 0.0000 0.0000
Nd1 0.2500 0.2500 0.2500
Pu1 0.2500 0.2500 0.7500
In1 0.0000 0.0000 0.5000
```


This record from Alexandria describes a geometry-optimized LiNdInRu structure. The functional is PBE.

**VASP energy**: -4.866 eV/atom
**Formation energy**: -4.436 kcal/mol of atoms

CIF file:
```
data_LiNdInRu
_cell_length_a 6.8521
_cell_length_b 6.8521
_cell_length_c 6.8521
_cell_angle_alpha 90.00
_cell_angle_beta 90.00
_cell_angle_gamma 90.00
_space_group_name_H-M_alt 'F -4 3 m'
_space_group_IT_number 216
_space_group_name_Hall 'F -4 2 3'
loop_
_atom_site_label
_atom_site_fract_x
_atom_site_fract_y
_atom_site_fract_z
Li1 0.0000 0.0000 0.0000
Nd1 0.2500 0.2500 0.2500
In1 0.2500 0.2500 0.7500
Ru1 0.0000 0.0000 0.5000
```


This record from Alexandria describes a geometry-optimized Li2NdInS4 structure. The functional is PBE.

**VASP energy**: -4.773 eV/atom
**Formation energy from raw total energies**: -1292.1 meV per atom

CIF file:
```
data_Li2NdInS4
_cell_length_a 6.6415
_cell_length_b 3.9298
_cell_length_c 6.7193
_cell_angle_alpha 90.00
_cell_angle_beta 109.60
_cell_angle_gamma 90.00
_space_group_name_H-M_alt 'P 1 2/m 1'
_space_group_IT_number 10
_space_group_name_Hall '-P 2y'
loop_
_atom_site_label
_atom_site_fract_x
_atom_site_fract_y
_atom_site_fract_z
Li1 0.0000 0.0000 0.0000
Li2 0.0000 0.5000 0.5000
Nd1 0.5000 0.0000 0.5000
In1 0.5000 0.5000 0.0000
S1 0.2396 0.5000 0.2404
S2 0.2524 0.0000 0.7711
```


This record from Alexandria describes a geometry-optimized LiNd2InS5 structure. The functional is PBE.

**VASP energy**: -5.377 eV/atom
**Formation energy from raw total energies**: -1507.8 meV per atom

CIF file:
```
data_LiNd2InS5
_cell_length_a 3.9866
_cell_length_b 17.1323
_cell_length_c 11.4364
_cell_angle_alpha 90.00
_cell_angle_beta 90.00
_cell_angle_gamma 90.00
_space_group_name_H-M_alt 'C m c 21'
_space_group_IT_number 36
_space_group_name_Hall 'C 2c -2'
loop_
_atom_site_label
_atom_site_fract_x
_atom_site_fract_y
_atom_site_fract_z
Li1 0.0000 0.2253 0.0000
Nd1 0.0000 0.1246 0.2870
Nd2 0.0000 0.1251 0.6645
In1 0.0000 0.4172 0.4589
S1 0.0000 0.0352 0.0630
S2 0.0000 0.3008 0.6387
S3 0.0000 0.3021 0.3220
S4 0.0000 0.3615 0.9800
S5 0.0000 0.4922 0.2673
```


This record from Alexandria describes a geometry-optimized LiNdSc2In4 structure. The functional is PBE.

**VASP energy**: -4.169 eV/atom
**Formation energy**: -8.808 kcal/mol of atoms

CIF file:
```
data_LiNdSc2In4
_cell_length_a 5.0887
_cell_length_b 5.0887
_cell_length_c 25.6583
_cell_angle_alpha 90.00
_cell_angle_beta 90.00
_cell_angle_gamma 120.00
_space_group_name_H-M_alt 'R -3 m'
_space_group_IT_number 166
_space_group_name_Hall '-R 3 2"'
loop_
_atom_site_label
_atom_site_fract_x
_atom_site_fract_y
_atom_site_fract_z
Li1 0.0000 0.0000 0.0000
Nd1 0.0000 0.0000 0.5000
Sc1 0.0000 0.0000 0.2524
In1 0.0000 0.0000 0.1180
In2 0.0000 0.0000 0.3705
```


This record from Alexandria describes a geometry-optimized LiNd2InSe5 structure. The functional is PBE.

**VASP energy**: -4.901 eV/atom
**Formation energy from raw total energies**: -1389.2 meV per atom

CIF file:
```
data_LiNd2InSe5
_cell_length_a 4.1342
_cell_length_b 18.0220
_cell_length_c 12.0035
_cell_angle_alpha 90.00
_cell_angle_beta 90.00
_cell_angle_gamma 90.00
_space_group_name_H-M_alt 'C m c 21'
_space_group_IT_number 36
_space_group_name_Hall 'C 2c -2'
loop_
_atom_site_label
_atom_site_fract_x
_atom_site_fract_y
_atom_site_fract_z
Li1 0.0000 0.2231 0.0000
Nd1 0.0000 0.1245 0.6620
Nd2 0.0000 0.1250 0.2858
In1 0.0000 0.4161 0.4548
Se1 0.0000 0.0364 0.0642
Se2 0.0000 0.2989 0.6398
Se3 0.0000 0.3020 0.3177
Se4 0.0000 0.3610 0.9774
Se5 0.0000 0.4927 0.2645
```


This record from Alexandria describes a geometry-optimized Li2Nd2SmIn5 structure. The functional is PBE.

**VASP energy**: -3.599 eV/atom
**Formation energy**: -9.722 kcal/mol of atoms

CIF file:
```
data_Li2Nd2SmIn5
_cell_length_a 10.4939
_cell_length_b 10.4939
_cell_length_c 4.4942
_cell_angle_alpha 90.00
_cell_angle_beta 90.00
_cell_angle_gamma 90.00
_space_group_name_H-M_alt 'P 4/m b m'
_space_group_IT_number 127
_space_group_name_Hall '-P 4 2ab'
loop_
_atom_site_label
_atom_site_fract_x
_atom_site_fract_y
_atom_site_fract_z
Li1 0.1180 0.3820 0.0000
Nd1 0.1760 0.6760 0.0000
Sm1 0.0000 0.0000 0.0000
In1 0.0000 0.5000 0.5000
In2 0.0706 0.2146 0.5000
```


This record from Alexandria describes a geometry-optimized SrLiNd2In4 structure. The functional is PBE.

**VASP energy**: -3.386 eV/atom
**Formation energy**: -8.663 kcal/mol of atoms

CIF file:
```
data_SrLiNd2In4
_cell_length_a 5.4109
_cell_length_b 5.4109
_cell_length_c 27.0883
_cell_angle_alpha 90.00
_cell_angle_beta 90.00
_cell_angle_gamma 120.00
_space_group_name_H-M_alt 'R -3 m'
_space_group_IT_number 166
_space_group_name_Hall '-R 3 2"'
loop_
_atom_site_label
_atom_site_fract_x
_atom_site_fract_y
_atom_site_fract_z
Sr1 0.0000 0.0000 0.0000
Li1 0.0000 0.0000 0.5000
Nd1 0.0000 0.0000 0.2453
In1 0.0000 0.0000 0.1273
In2 0.0000 0.0000 0.3816
```


This record from Alexandria describes a geometry-optimized SrLi2Nd2In2 structure. The functional is PBE.

**VASP energy**: -3.168 eV/atom
**Formation energy**: -5.450 kcal/mol of atoms

CIF file:
```
data_SrLi2Nd2In2
_cell_length_a 5.0090
_cell_length_b 5.0090
_cell_length_c 28.8032
_cell_angle_alpha 90.00
_cell_angle_beta 90.00
_cell_angle_gamma 120.00
_space_group_name_H-M_alt 'R -3 m'
_space_group_IT_number 166
_space_group_name_Hall '-R 3 2"'
loop_
_atom_site_label
_atom_site_fract_x
_atom_site_fract_y
_atom_site_fract_z
Sr1 0.0000 0.0000 0.0000
Li1 0.0000 0.0000 0.4071
Nd1 0.0000 0.0000 0.1305
In1 0.0000 0.0000 0.2535
```


This record from Alexandria describes a geometry-optimized SrLiNdIn structure. The functional is PBE.

**VASP energy**: -2.994 eV/atom
**Formation energy**: -5.050 kcal/mol of atoms

CIF file:
```
data_SrLiNdIn
_cell_length_a 7.9194
_cell_length_b 7.9194
_cell_length_c 7.9194
_cell_angle_alpha 90.00
_cell_angle_beta 90.00
_cell_angle_gamma 90.00
_space_group_name_H-M_alt 'F -4 3 m'
_space_group_IT_number 216
_space_group_name_Hall 'F -4 2 3'
loop_
_atom_site_label
_atom_site_fract_x
_atom_site_fract_y
_atom_site_fract_z
Sr1 0.0000 0.0000 0.0000
Li1 0.2500 0.2500 0.2500
Nd1 0.0000 0.0000 0.5000
In1 0.2500 0.2500 0.7500
```


This record from Alexandria describes a geometry-optimized LiTb2NdIn4 structure. The functional is PBE.

**VASP energy**: -3.784 eV/atom
**Formation energy**: -9.732 kcal/mol of atoms

CIF file:
```
data_LiTb2NdIn4
_cell_length_a 5.2525
_cell_length_b 5.2525
_cell_length_c 26.5060
_cell_angle_alpha 90.00
_cell_angle_beta 90.00
_cell_angle_gamma 120.00
_space_group_name_H-M_alt 'R -3 m'
_space_group_IT_number 166
_space_group_name_Hall '-R 3 2"'
loop_
_atom_site_label
_atom_site_fract_x
_atom_site_fract_y
_atom_site_fract_z
Li1 0.0000 0.0000 0.0000
Tb1 0.0000 0.0000 0.2545
Nd1 0.0000 0.0000 0.5000
In1 0.0000 0.0000 0.1215
In2 0.0000 0.0000 0.3727
```


This record from Alexandria describes a geometry-optimized Li2TbNd2In2 structure. The functional is PBE.

**VASP energy**: -3.597 eV/atom
**Formation energy**: -5.625 kcal/mol of atoms

CIF file:
```
data_Li2TbNd2In2
_cell_length_a 4.9078
_cell_length_b 4.9078
_cell_length_c 26.8105
_cell_angle_alpha 90.00
_cell_angle_beta 90.00
_cell_angle_gamma 120.00
_space_group_name_H-M_alt 'R -3 m'
_space_group_IT_number 166
_space_group_name_Hall '-R 3 2"'
loop_
_atom_site_label
_atom_site_fract_x
_atom_site_fract_y
_atom_site_fract_z
Li1 0.0000 0.0000 0.1093
Tb1 0.0000 0.0000 0.5000
Nd1 0.0000 0.0000 0.3728
In1 0.0000 0.0000 0.2342
```


This record from Alexandria describes a geometry-optimized Li2TbNd2In5 structure. The functional is PBE.

**VASP energy**: -3.592 eV/atom
**Formation energy**: -9.758 kcal/mol of atoms

CIF file:
```
data_Li2TbNd2In5
_cell_length_a 10.3772
_cell_length_b 10.3772
_cell_length_c 4.5322
_cell_angle_alpha 90.00
_cell_angle_beta 90.00
_cell_angle_gamma 90.00
_space_group_name_H-M_alt 'P 4/m b m'
_space_group_IT_number 127
_space_group_name_Hall '-P 4 2ab'
loop_
_atom_site_label
_atom_site_fract_x
_atom_site_fract_y
_atom_site_fract_z
Li1 0.1167 0.3833 0.0000
Tb1 0.0000 0.0000 0.0000
Nd1 0.1776 0.6776 0.0000
In1 0.0000 0.5000 0.5000
In2 0.0685 0.2119 0.5000
```


This record from Alexandria describes a geometry-optimized Li2Nd2ThIn2 structure. The functional is PBE.

**VASP energy**: -3.935 eV/atom
**Formation energy**: -4.229 kcal/mol of atoms

CIF file:
```
data_Li2Nd2ThIn2
_cell_length_a 4.9517
_cell_length_b 4.9517
_cell_length_c 26.7594
_cell_angle_alpha 90.00
_cell_angle_beta 90.00
_cell_angle_gamma 120.00
_space_group_name_H-M_alt 'R -3 m'
_space_group_IT_number 166
_space_group_name_Hall '-R 3 2"'
loop_
_atom_site_label
_atom_site_fract_x
_atom_site_fract_y
_atom_site_fract_z
Li1 0.0000 0.0000 0.1033
Nd1 0.0000 0.0000 0.3718
Th1 0.0000 0.0000 0.5000
In1 0.0000 0.0000 0.2345
```


This record from Alexandria describes a geometry-optimized Li2NdTm2In2 structure. The functional is PBE.

**VASP energy**: -3.514 eV/atom
**Formation energy**: -5.221 kcal/mol of atoms

CIF file:
```
data_Li2NdTm2In2
_cell_length_a 4.8910
_cell_length_b 4.8910
_cell_length_c 26.3266
_cell_angle_alpha 90.00
_cell_angle_beta 90.00
_cell_angle_gamma 120.00
_space_group_name_H-M_alt 'R -3 m'
_space_group_IT_number 166
_space_group_name_Hall '-R 3 2"'
loop_
_atom_site_label
_atom_site_fract_x
_atom_site_fract_y
_atom_site_fract_z
Li1 0.0000 0.0000 0.0940
Nd1 0.0000 0.0000 0.5000
Tm1 0.0000 0.0000 0.3705
In1 0.0000 0.0000 0.2419
```


This record from Alexandria describes a geometry-optimized LiNdTm2In4 structure. The functional is PBE.

**VASP energy**: -3.720 eV/atom
**Formation energy**: -9.175 kcal/mol of atoms

CIF file:
```
data_LiNdTm2In4
_cell_length_a 5.2098
_cell_length_b 5.2098
_cell_length_c 26.2391
_cell_angle_alpha 90.00
_cell_angle_beta 90.00
_cell_angle_gamma 120.00
_space_group_name_H-M_alt 'R -3 m'
_space_group_IT_number 166
_space_group_name_Hall '-R 3 2"'
loop_
_atom_site_label
_atom_site_fract_x
_atom_site_fract_y
_atom_site_fract_z
Li1 0.0000 0.0000 0.0000
Nd1 0.0000 0.0000 0.5000
Tm1 0.0000 0.0000 0.2532
In1 0.0000 0.0000 0.1202
In2 0.0000 0.0000 0.3717
```


This record from Alexandria describes a geometry-optimized LiNd2TmIn4 structure. The functional is PBE.

**VASP energy**: -3.778 eV/atom
**Formation energy**: -9.650 kcal/mol of atoms

CIF file:
```
data_LiNd2TmIn4
_cell_length_a 5.2750
_cell_length_b 5.2750
_cell_length_c 26.4706
_cell_angle_alpha 90.00
_cell_angle_beta 90.00
_cell_angle_gamma 120.00
_space_group_name_H-M_alt 'R -3 m'
_space_group_IT_number 166
_space_group_name_Hall '-R 3 2"'
loop_
_atom_site_label
_atom_site_fract_x
_atom_site_fract_y
_atom_site_fract_z
Li1 0.0000 0.0000 0.0000
Nd1 0.0000 0.0000 0.2552
Tm1 0.0000 0.0000 0.5000
In1 0.0000 0.0000 0.1253
In2 0.0000 0.0000 0.3752
```


This record from Alexandria describes a geometry-optimized Li2Nd2TmIn2 structure. The functional is PBE.

**VASP energy**: -3.563 eV/atom
**Formation energy**: -5.358 kcal/mol of atoms

CIF file:
```
data_Li2Nd2TmIn2
_cell_length_a 4.8694
_cell_length_b 4.8694
_cell_length_c 26.8923
_cell_angle_alpha 90.00
_cell_angle_beta 90.00
_cell_angle_gamma 120.00
_space_group_name_H-M_alt 'R -3 m'
_space_group_IT_number 166
_space_group_name_Hall '-R 3 2"'
loop_
_atom_site_label
_atom_site_fract_x
_atom_site_fract_y
_atom_site_fract_z
Li1 0.0000 0.0000 0.1116
Nd1 0.0000 0.0000 0.3732
Tm1 0.0000 0.0000 0.5000
In1 0.0000 0.0000 0.2332
```


This record from Alexandria describes a geometry-optimized Li2NdY2In2 structure. The functional is PBE.

**VASP energy**: -4.105 eV/atom
**Formation energy**: -5.721 kcal/mol of atoms

CIF file:
```
data_Li2NdY2In2
_cell_length_a 4.9017
_cell_length_b 4.9017
_cell_length_c 26.8687
_cell_angle_alpha 90.00
_cell_angle_beta 90.00
_cell_angle_gamma 120.00
_space_group_name_H-M_alt 'R -3 m'
_space_group_IT_number 166
_space_group_name_Hall '-R 3 2"'
loop_
_atom_site_label
_atom_site_fract_x
_atom_site_fract_y
_atom_site_fract_z
Li1 0.0000 0.0000 0.0977
Nd1 0.0000 0.0000 0.5000
Y1 0.0000 0.0000 0.3718
In1 0.0000 0.0000 0.2406
```


This record from Alexandria describes a geometry-optimized LiNdY2In4 structure. The functional is PBE.

**VASP energy**: -4.254 eV/atom
**Formation energy**: -9.993 kcal/mol of atoms

CIF file:
```
data_LiNdY2In4
_cell_length_a 5.2484
_cell_length_b 5.2484
_cell_length_c 26.4460
_cell_angle_alpha 90.00
_cell_angle_beta 90.00
_cell_angle_gamma 120.00
_space_group_name_H-M_alt 'R -3 m'
_space_group_IT_number 166
_space_group_name_Hall '-R 3 2"'
loop_
_atom_site_label
_atom_site_fract_x
_atom_site_fract_y
_atom_site_fract_z
Li1 0.0000 0.0000 0.0000
Nd1 0.0000 0.0000 0.5000
Y1 0.0000 0.0000 0.2544
In1 0.0000 0.0000 0.1215
In2 0.0000 0.0000 0.3726
```


This record from Alexandria describes a geometry-optimized LiNdYIn structure. The functional is PBE.

**VASP energy**: -4.254 eV/atom
**Formation energy**: -6.537 kcal/mol of atoms

CIF file:
```
data_LiNdYIn
_cell_length_a 7.5886
_cell_length_b 7.5886
_cell_length_c 7.5886
_cell_angle_alpha 90.00
_cell_angle_beta 90.00
_cell_angle_gamma 90.00
_space_group_name_H-M_alt 'F -4 3 m'
_space_group_IT_number 216
_space_group_name_Hall 'F -4 2 3'
loop_
_atom_site_label
_atom_site_fract_x
_atom_site_fract_y
_atom_site_fract_z
Li1 0.0000 0.0000 0.0000
Nd1 0.2500 0.2500 0.7500
Y1 0.2500 0.2500 0.2500
In1 0.0000 0.0000 0.5000
```


This record from Alexandria describes a geometry-optimized Li2Nd2YIn5 structure. The functional is PBE.

**VASP energy**: -3.781 eV/atom
**Formation energy**: -9.899 kcal/mol of atoms

CIF file:
```
data_Li2Nd2YIn5
_cell_length_a 10.3662
_cell_length_b 10.3662
_cell_length_c 4.5316
_cell_angle_alpha 90.00
_cell_angle_beta 90.00
_cell_angle_gamma 90.00
_space_group_name_H-M_alt 'P 4/m b m'
_space_group_IT_number 127
_space_group_name_Hall '-P 4 2ab'
loop_
_atom_site_label
_atom_site_fract_x
_atom_site_fract_y
_atom_site_fract_z
Li1 0.1165 0.3835 0.0000
Nd1 0.1777 0.6777 0.0000
Y1 0.0000 0.0000 0.0000
In1 0.0000 0.5000 0.5000
In2 0.0685 0.2116 0.5000
```